Here is an optimized crystal structure of NaHoGa4Pt2 from the Open Quantum Materials Database. Energies are from PBE.

Unit cell a=6.836 b=5.465 c=5.465 alpha=46.38 beta=90.00 gamma=90.00
Fractional coordinates of all 8 atoms:
Pt 0.000 0.796 0.796
Ga 0.195 0.364 0.364
Na 0.000 0.079 0.079
Ga 0.297 0.634 0.634
Ga 0.805 0.364 0.364
Ho 0.500 0.921 0.921
Ga 0.703 0.634 0.634
Pt 0.500 0.207 0.207

Computed properties:
- ρ (g/cm³) = 9.63
- magnetization (μB/f.u.) = 0.02
- crystal system = orthorhombic

Here is an optimized crystal structure of NaLaTaIr from the Open Quantum Materials Database. Energies are from PBE.

Unit cell a=4.824 b=4.824 c=4.824 alpha=60.00 beta=60.00 gamma=60.00
Fractional coordinates of all 4 atoms:
La 0.500 0.500 0.500
Ir 0.000 0.000 0.000
Ta 0.250 0.250 0.250
Na 0.750 0.750 0.750

Computed properties:
- ρ (g/cm³) = 11.19
- magnetization (μB/f.u.) = 0.00
- crystal system = cubic
- energy above the lowest structure with this stoichiometry (eV per atom) = 0.000

Here is an optimized crystal structure of SrEr2S3 from the Open Quantum Materials Database. Energies are from PBE.

Unit cell a=3.965 b=3.965 c=9.833 alpha=90.00 beta=90.00 gamma=120.00
Fractional coordinates of all 6 atoms:
Er 0.667 0.333 0.350
Sr 0.000 0.000 0.000
Er 0.333 0.667 0.650
S 0.333 0.667 0.189
S 0.667 0.333 0.811
S 0.000 0.000 0.500

Computed properties:
- ρ (g/cm³) = 6.43
- magnetization (μB/f.u.) = 0.00
- crystal system = trigonal

Here is an optimized crystal structure of UTlAgTe3 from the Open Quantum Materials Database. Energies are from PBE.

Unit cell a=7.999 b=7.999 c=11.419 alpha=90.00 beta=90.00 gamma=148.09
Each line ends with the local moment (μB).
Fractional coordinates of all 12 atoms:
Te 0.924 0.076 0.750  -0.07
Te 0.637 0.363 0.956  -0.07
Tl 0.239 0.761 0.750  -0.01
Ag 0.460 0.540 0.250  -0.02
Te 0.076 0.924 0.250  -0.07
Te 0.363 0.637 0.456  -0.07
Ag 0.540 0.460 0.750  -0.02
Tl 0.761 0.239 0.250  -0.01
Te 0.363 0.637 0.044  -0.07
U 0.000 0.000 0.500  2.21
Te 0.637 0.363 0.544  -0.07
U 0.000 0.000 0.000  2.20

Computed properties:
- ρ (g/cm³) = 8.02
- magnetization (μB/f.u.) = 2.01
- crystal system = orthorhombic

Respective total DFT energy (no corrections) values: -35.6, -25.5, -35.2, -28.8 eV per formula unit.